VASP calculation (PBE) on Er2MgNpO8 after structural relaxation.

Values from the calculation:
space group: No. 10
raw formation energy: -2.793 eV per atom
magnetization: 1.01 μB per formula unit
density of states at the Fermi level: 7.91 states/eV/f.u.

The structure in CIF format:
```
data_Er2MgNpO8
_chemical_formula_sum 'Er2 Mg1 Np1 O8'
_cell_length_a 4.9912
_cell_length_b 4.9904
_cell_length_c 6.7956
_cell_angle_alpha 90.00
_cell_angle_beta 90.00
_cell_angle_gamma 91.78
_space_group_name_H-M_alt 'P 1'
_space_group_IT_number 1
loop_
_space_group_symop_operation_xyz
'x,y,z'
loop_
_atom_site_label
_atom_site_type_symbol
_atom_site_fract_x
_atom_site_fract_y
_atom_site_fract_z
O1 O 0.2921 0.2903 0.0000
O2 O 0.8165 0.1851 0.2261
O3 O 0.1835 0.8149 0.2260
O4 O 0.7074 0.7088 0.5000
O5 O 0.8165 0.1851 0.7740
O6 O 0.2926 0.2912 0.5000
O7 O 0.1835 0.8149 0.7739
O8 O 0.7079 0.7097 0.0000
Er1 Er 0.5000 0.5000 0.2595
Er2 Er 0.5000 0.5000 0.7405
Np1 Np 0.0000 0.0000 0.0000
Mg1 Mg 0.0000 0.0000 0.5000
```